# PBE Dy2TmAlO, relaxed
# DFT total energy = -5.84 eV per atom
# Calculated volume = 20.8 A^3/atom
data_Dy2TmAlO
_chemical_formula_sum 'Dy2 Tm1 Al1 O1'
_space_group_name_H-M_alt 'P 4/m m m'
_space_group_IT_number 123
_space_group_name_Hall '-P 4 2'
_cell_length_a 4.738
_cell_length_b 4.738
_cell_length_c 4.623
_cell_angle_alpha 90.00
_cell_angle_beta 90.00
_cell_angle_gamma 90.00
loop_
_atom_site_label
_atom_site_type_symbol
_atom_site_fract_x
_atom_site_fract_y
_atom_site_fract_z
_atom_site_occupancy
Dy1 Dy 0.000 0.500 0.000 1
Tm1 Tm 0.000 0.000 0.500 1
Al1 Al 0.500 0.500 0.500 1
O1 O 0.000 0.000 0.000 1